Entry 1:
Entry from Alexandria via LeMat-Bulk: a relaxed structure of MnCrPdN (GGA-PBE).

Values from the calculation:
relative energy among the computed polymorphs	196	meV/atom
crystal system	orthorhombic
formation energy (no corrections)	-52.8	meV per atom

```
8
Lattice="2.8413 0.0000 0.0000 0.0000 3.7454 0.0000 0.0000 0.0000 9.6825" Properties=species:S:1:pos:R:3 pbc="T T T"
N 1.4207 0.0000 9.2140
N 1.4207 1.8727 4.3728
Pd 1.4207 0.0000 1.6654
Pd 1.4207 1.8727 6.5066
Cr 1.4207 0.0000 4.2360
Cr 1.4207 1.8727 9.0772
Mn 0.0000 0.0000 7.9194
Mn 0.0000 1.8727 3.0782
```

Entry 2:
Entry from Alexandria via LeMat-Bulk: a relaxed structure of Pm2TeSe2 (GGA-PBE).

Values from the calculation:
relative energy among the computed polymorphs	155	meV/atom
crystal system	triclinic
formation energy (no corrections)	-1434.5	meV per atom

```
10
Lattice="5.3916 0.0015 -0.0013 2.6974 8.0996 0.0024 2.6877 0.0058 7.5166" Properties=species:S:1:pos:R:3 pbc="T T T"
Pm 4.7148 6.0785 3.6715
Pm 4.7148 6.0778 0.0876
Pm 6.0620 2.0285 3.8462
Pm 6.0619 2.0292 7.4301
Se 8.7589 7.6632 5.6387
Se 2.0178 0.4438 1.8790
Se 6.0610 4.4920 5.6383
Se 4.7158 3.6150 1.8795
Te 7.4108 6.0793 1.8784
Te 3.3660 2.0277 5.6394
```

Entry 3:
Entry from Alexandria via LeMat-Bulk: a relaxed structure of Pm2AgAs3Rh4 (GGA-PBE).

Values from the calculation:
crystal system	tetragonal
electronic total energy	-6.341	eV per atom

```
10
Lattice="4.1496 0.0000 0.0000 0.0000 4.1496 0.0000 0.0000 0.0000 10.8204" Properties=species:S:1:pos:R:3 pbc="T T T"
Rh 2.0748 0.0000 7.0549
Rh 2.0748 2.0748 0.0000
Rh 0.0000 0.0000 0.0000
Rh 0.0000 2.0748 3.7655
Pm 2.0748 0.0000 2.7339
Pm 0.0000 2.0748 8.0864
Ag 2.0748 2.0748 5.4102
As 0.0000 0.0000 5.4102
As 2.0748 0.0000 9.4099
As 0.0000 2.0748 1.4105
```

Entry 4:
Entry from Alexandria via LeMat-Bulk: a relaxed structure of CaSb5 (GGA-PBE).

Values from the calculation:
relative energy among the computed polymorphs	0	meV/atom
crystal system	orthorhombic
formation energy (no corrections)	-196.6	meV per atom

```
6
Lattice="2.5224 -8.3791 0.0000 2.5224 8.3791 0.0000 0.0000 0.0000 4.1868" Properties=species:S:1:pos:R:3 pbc="T T T"
Sb 2.5224 2.7515 0.0000
Sb 2.5224 0.6830 2.0934
Sb 2.5224 -2.1900 0.0000
Sb 2.5224 -4.3965 2.0934
Sb 2.5224 5.8095 2.0934
Ca 2.5224 -8.2436 0.0000
```

Table of D(E_F) (states/eV/cell), in record order: 4.75 3.52 3.83 1.16